(P)
Density functional theory data (GGA-PBE) for a relaxed structure of HfCr2W.

```
HfCr2W
1.0
0.000 3.102 3.102
3.102 0.000 3.102
3.102 3.102 0.000
W Cr Hf
1 2 1
direct
0.500 0.500 0.500
0.750 0.750 0.750
0.250 0.250 0.250
0.000 0.000 0.000
```

symmetry	Fm-3m
V	14.9	A^3/atom

(Q)
Density functional theory data (GGA-PBE) for a relaxed structure of HfCr2W.

```
HfCr2W
1.0
6.927 0.000 0.000
0.000 6.927 0.000
3.463 3.463 2.727
Hf W Cr
2 2 4
direct
0.250 0.750 0.500
0.500 0.500 0.000
0.000 0.000 0.000
0.750 0.250 0.500
0.875 0.901 0.750
0.375 0.349 0.750
0.099 0.625 0.250
0.651 0.125 0.250
```

symmetry	I-42d
V	16.4	A^3/atom

(R)
Density functional theory data (GGA-PBE) for a relaxed structure of HfCr2W.

```
HfCr2W
1.0
3.087 0.000 0.000
0.000 3.087 0.000
0.000 0.000 6.318
Cr Hf W
2 1 1
direct
0.000 0.000 0.231
0.000 0.000 0.769
0.500 0.500 0.500
0.500 0.500 0.000
```

symmetry	P4/mmm
V	15.0	A^3/atom

Name the most stable of them. (R).

(P)
Density functional theory data (GGA-PBE) for a relaxed structure of HfCrW3.

```
HfCrW3
1.0
-0.437 1.354 -4.306
3.931 -2.012 -1.031
-2.219 -3.832 -0.980
W Hf Cr
3 1 1
direct
0.000 0.500 0.000
0.500 0.000 0.000
0.000 0.000 0.500
0.500 0.500 0.500
0.000 0.000 0.000
```

symmetry	Pm-3m
V	18.7	A^3/atom

(Q)
Density functional theory data (GGA-PBE) for a relaxed structure of HfCrW3.

```
HfCrW3
1.0
4.793 0.000 0.000
0.000 4.793 0.000
0.000 0.000 4.793
W Hf Cr
3 1 1
direct
0.000 0.000 0.500
0.000 0.500 0.000
0.500 0.000 0.000
0.000 0.000 0.000
0.500 0.500 0.500
```

symmetry	Pm-3m
V	22.0	A^3/atom

Name the most stable of them. (P).

(P)
Density functional theory data (GGA-PBE) for a relaxed structure of Hf3CrW.

```
Hf3CrW
1.0
-0.624 3.488 3.093
-4.235 0.879 -1.846
-1.947 -3.030 3.024
Hf W Cr
3 1 1
direct
0.500 0.000 0.000
0.000 0.500 0.000
0.000 0.000 0.500
0.500 0.500 0.500
0.000 0.000 0.000
```

symmetry	Pm-3m
V	20.8	A^3/atom

(Q)
Density functional theory data (GGA-PBE) for a relaxed structure of Hf3CrW.

```
Hf3CrW
1.0
-4.480 -1.825 1.460
1.026 -4.371 -2.317
2.100 -1.758 4.246
W Hf Cr
1 3 1
direct
0.000 0.000 0.000
0.000 0.500 0.000
0.000 0.000 0.500
0.500 0.000 0.000
0.500 0.500 0.500
```

symmetry	Pm-3m
V	25.8	A^3/atom

Name the most stable of them. (P).

(P)
Density functional theory data (GGA-PBE) for a relaxed structure of YHfCr2.

```
YHfCr2
1.0
2.829 1.847 3.359
-1.235 4.044 2.196
-1.354 -0.087 4.567
Y Cr Hf
1 2 1
direct
0.000 0.000 0.000
0.750 0.750 0.750
0.250 0.250 0.250
0.500 0.500 0.500
```

symmetry	Fm-3m
V	19.1	A^3/atom

(Q)
Density functional theory data (GGA-PBE) for a relaxed structure of YHfCr2.

```
YHfCr2
1.0
7.467 0.000 0.000
0.000 7.467 0.000
3.734 3.734 3.048
Y Hf Cr
2 2 4
direct
0.500 0.500 0.000
0.250 0.750 0.500
0.000 0.000 0.000
0.750 0.250 0.500
0.641 0.125 0.250
0.375 0.359 0.750
0.875 0.891 0.750
0.109 0.625 0.250
```

symmetry	I-42d
V	21.2	A^3/atom

Name the most stable of them. (P).

(P)
Density functional theory data (GGA-PBE) for a relaxed structure of HfZnCr3.

```
HfZnCr3
1.0
-4.265 0.462 0.826
-0.928 -1.289 -4.070
-0.187 -4.149 1.357
Zn Cr Hf
1 3 1
direct
0.000 0.000 0.000
0.000 0.500 0.000
0.500 0.000 0.000
0.000 0.000 0.500
0.500 0.500 0.500
```

symmetry	Pm-3m
V	16.7	A^3/atom

(Q)
Density functional theory data (GGA-PBE) for a relaxed structure of HfZnCr3.

```
HfZnCr3
1.0
4.534 0.000 0.000
0.000 4.534 0.000
0.000 0.000 4.534
Cr Hf Zn
3 1 1
direct
0.000 0.000 0.500
0.000 0.500 0.000
0.500 0.000 0.000
0.000 0.000 0.000
0.500 0.500 0.500
```

symmetry	Pm-3m
V	18.6	A^3/atom

Name the most stable of them. (P).

(P)
Density functional theory data (GGA-PBE) for a relaxed structure of HfZrCr2.

```
HfZrCr2
1.0
0.000 3.256 3.256
3.256 0.000 3.256
3.256 3.256 0.000
Cr Zr Hf
2 1 1
direct
0.250 0.250 0.250
0.750 0.750 0.750
0.000 0.000 0.000
0.500 0.500 0.500
```

symmetry	Fm-3m
V	17.3	A^3/atom

(Q)
Density functional theory data (GGA-PBE) for a relaxed structure of HfZrCr2.

```
HfZrCr2
1.0
-3.891 -4.947 3.366
2.085 -4.884 -4.768
1.387 -5.576 0.976
Cr Hf Zr
4 2 2
direct
0.375 0.375 0.750
0.125 0.625 0.250
0.625 0.125 0.250
0.875 0.875 0.750
0.750 0.250 0.500
0.000 0.000 0.000
0.500 0.500 0.000
0.250 0.750 0.500
```

symmetry	I-42d
V	18.6	A^3/atom

Name the most stable of them. (P).

(P)
Density functional theory data (GGA-PBE) for a relaxed structure of Hf2ZrCr.

```
Hf2ZrCr
1.0
0.000 3.380 3.380
3.380 0.000 3.380
3.380 3.380 0.000
Cr Zr Hf
1 1 2
direct
0.000 0.000 0.000
0.500 0.500 0.500
0.250 0.250 0.250
0.750 0.750 0.750
```

symmetry	Fm-3m
V	19.3	A^3/atom

(Q)
Density functional theory data (GGA-PBE) for a relaxed structure of Hf2ZrCr.

```
Hf2ZrCr
1.0
-2.807 -1.214 1.150
1.671 -2.088 1.877
0.086 4.981 5.467
Hf Cr Zr
2 1 1
direct
0.000 0.000 0.211
0.000 0.000 0.789
0.500 0.500 0.000
0.500 0.500 0.500
```

symmetry	P4/mmm
V	19.7	A^3/atom

Name the most stable of them. (Q).

(P)
Density functional theory data (GGA-PBE) for a relaxed structure of Cr2Hg.

```
Cr2Hg
1.0
-1.355 -4.216 -2.905
-2.544 -4.486 1.205
0.080 5.283 0.370
Cr Hg
2 1
direct
0.634 0.634 0.000
0.033 0.033 0.000
0.333 0.333 0.000
```

symmetry	I4/mmm
V	14.8	A^3/atom

(Q)
Density functional theory data (GGA-PBE) for a relaxed structure of Cr2Hg.

```
Cr2Hg
1.0
4.318 0.000 0.000
-2.159 3.739 0.000
0.000 0.000 2.713
Hg Cr
1 2
direct
0.000 0.000 0.000
0.333 0.667 0.408
0.667 0.333 0.592
```

symmetry	P-3m1
V	14.6	A^3/atom

Name the most stable of them. (P).

(P)
Density functional theory data (GGA-PBE) for a relaxed structure of Cr2Hg.

```
Cr2Hg
1.0
0.000 3.528 3.528
3.528 0.000 3.528
3.528 3.528 0.000
Cr Hg
4 2
direct
0.125 0.125 0.125
0.125 0.625 0.125
0.625 0.125 0.125
0.125 0.125 0.625
0.750 0.750 0.750
0.500 0.500 0.500
```

symmetry	Fd-3m
V	14.6	A^3/atom

(Q)
Density functional theory data (GGA-PBE) for a relaxed structure of Cr2Hg.

```
Cr2Hg
1.0
-7.298 2.605 1.699
1.356 -3.840 -6.808
-0.636 -2.690 1.391
Cr Hg
6 3
direct
0.000 0.629 0.500
0.371 0.371 0.500
0.629 0.000 0.500
0.295 0.000 0.000
0.000 0.295 0.000
0.705 0.705 0.000
0.000 0.000 0.500
0.333 0.667 0.000
0.667 0.333 0.000
```

symmetry	P-62m
V	18.7	A^3/atom

Name the most stable of them. (P).

(P)
Density functional theory data (GGA-PBE) for a relaxed structure of Cr2Hg.

```
Cr2Hg
1.0
1.523 5.112 -0.375
-1.523 5.112 -0.375
0.000 2.661 6.001
Cr Hg
4 2
direct
0.357 0.357 0.055
0.643 0.643 0.945
0.010 0.010 0.783
0.990 0.990 0.217
0.337 0.337 0.611
0.663 0.663 0.389
```

symmetry	C2/m
V	16.1	A^3/atom

(Q)
Density functional theory data (GGA-PBE) for a relaxed structure of Cr2Hg.

```
Cr2Hg
1.0
1.960 -5.947 0.000
1.960 5.947 0.000
0.000 0.000 4.207
Hg Cr
2 4
direct
0.416 0.584 0.750
0.584 0.416 0.250
0.123 0.877 0.750
0.253 0.747 0.250
0.877 0.123 0.250
0.747 0.253 0.750
```

symmetry	Cmcm
V	16.3	A^3/atom

Name the most stable of them. (P).

(P)
Density functional theory data (GGA-PBE) for a relaxed structure of Cr2Hg.

```
Cr2Hg
1.0
-6.730 -4.044 3.337
6.307 1.971 -5.396
2.519 -2.523 2.022
Cr Hg
4 2
direct
0.445 0.555 0.250
0.938 0.062 0.750
0.062 0.938 0.250
0.555 0.445 0.750
0.804 0.196 0.250
0.196 0.804 0.750
```

symmetry	Cmcm
V	16.9	A^3/atom

(Q)
Density functional theory data (GGA-PBE) for a relaxed structure of Cr2Hg.

```
Cr2Hg
1.0
0.438 -3.655 -3.453
2.240 -1.080 4.392
-4.922 0.617 0.928
Cr Hg
4 2
direct
0.109 0.391 0.500
0.891 0.609 0.500
0.609 0.109 0.717
0.391 0.891 0.283
0.750 0.750 0.000
0.250 0.250 0.000
```

symmetry	I4/mcm
V	16.4	A^3/atom

(R)
Density functional theory data (GGA-PBE) for a relaxed structure of Cr2Hg.

```
Cr2Hg
1.0
5.892 0.000 0.000
0.000 3.820 0.000
0.000 0.000 8.879
Cr Hg
8 4
direct
0.631 0.250 0.893
0.393 0.750 0.759
0.107 0.250 0.259
0.893 0.750 0.741
0.131 0.250 0.607
0.369 0.750 0.107
0.869 0.750 0.393
0.607 0.250 0.241
0.148 0.250 0.920
0.352 0.750 0.420
0.648 0.250 0.580
0.852 0.750 0.080
```

symmetry	Pnma
V	16.7	A^3/atom

Name the most stable of them. (P).

(P)
Density functional theory data (GGA-PBE) for a relaxed structure of Cr2Hg.

```
Cr2Hg
1.0
2.310 -4.001 0.000
2.310 4.001 0.000
0.000 0.000 5.622
Cr Hg
4 2
direct
0.000 0.000 0.000
0.000 0.000 0.500
0.333 0.667 0.250
0.667 0.333 0.750
0.667 0.333 0.250
0.333 0.667 0.750
```

symmetry	P6_3/mmc
V	17.3	A^3/atom

(Q)
Density functional theory data (GGA-PBE) for a relaxed structure of Cr2Hg.

```
Cr2Hg
1.0
-4.230 0.313 2.626
-3.336 -3.686 -0.419
4.714 1.108 1.202
Cr Hg
2 1
direct
0.667 0.667 0.000
0.000 0.000 0.000
0.333 0.333 0.000
```

symmetry	Immm
V	17.8	A^3/atom

(R)
Density functional theory data (GGA-PBE) for a relaxed structure of Cr2Hg.

```
Cr2Hg
1.0
-1.592 -0.538 6.345
-2.661 -5.885 -1.166
5.785 -2.855 1.209
Cr Hg
8 4
direct
0.365 0.135 0.865
0.135 0.865 0.365
0.635 0.865 0.135
0.865 0.365 0.135
0.635 0.635 0.635
0.865 0.135 0.635
0.135 0.635 0.865
0.365 0.365 0.365
0.000 0.000 0.000
0.500 0.000 0.500
0.000 0.500 0.500
0.500 0.500 0.000
```

symmetry	Pa-3
V	23.6	A^3/atom

Name the most stable of them. (P).